1.
Ac2VSbO6 (GGA+U, optimized geometry); crystal system = tetragonal; total energy = -7.31 eV/atom; total magnetization = 2.00 Bohr magnetons per cell; N(E_F) = 4.8 states/eV/f.u.
1.0
5.101 0.000 0.000
0.000 5.681 0.000
0.000 0.000 5.681
Ac V Sb O
2 1 1 6
direct
0.028 0.500 0.000 Ac
0.028 0.000 0.500 Ac
0.594 0.500 0.500 V
0.632 0.000 0.000 Sb
0.727 0.264 0.264 O
0.727 0.264 0.736 O
0.219 0.500 0.500 O
0.041 0.000 0.000 O
0.727 0.736 0.736 O
0.727 0.736 0.264 O

=====

2.
Ac2VSbO8 (GGA+U, optimized geometry); crystal system = triclinic; total energy = -7.35 eV/atom; total magnetization = 0.00 Bohr magnetons per cell
1.0
6.090 -1.289 0.585
-0.977 5.490 -0.494
0.632 -0.683 6.013
Ac V Sb O
2 1 1 8
direct
0.654 0.384 0.689 Ac
0.346 0.616 0.311 Ac
0.000 0.000 0.500 V
0.000 0.000 0.000 Sb
0.077 0.808 0.207 O
0.683 0.747 0.016 O
0.933 0.213 0.324 O
0.923 0.192 0.793 O
0.317 0.253 0.984 O
0.067 0.787 0.676 O
0.689 0.776 0.519 O
0.311 0.224 0.481 O

=====

Q: Number 1 is which compound?
A: Ac2VSbO6